Here is crystalline CrNi4Mo at its relaxed geometry from Alexandria. Energies are from PBE.

For the formation energy, the calculation gives 0 kJ per mole of atoms. The value obtained for the total magnetization is 0.00 μB/f.u. The total DFT energy (no corrections) is -0.534 Ry per atom. The calculation puts the excess energy over the best structure of this formula in the dataset at 0.0 meV per atom. The space group is Cmcm. The value obtained for the mass density is 9.04 g cm⁻³.

a b c (Å): 7.4581 7.4581 4.0547
angles (deg): 90.00 90.00 141.45
With the nearest neighbours (Å) after each atom.
Element x y z (fractional)
Cr 0.1278 0.8722 0.7500  2 Mo 2.46, 12 Ni 2.62-2.67
Cr 0.8722 0.1278 0.2500  2 Mo 2.46, 12 Ni 2.62-2.67
Ni 0.0392 0.4560 0.7500  5 Ni 2.34-2.49, 1 Cr 2.62
Ni 0.1996 0.2833 0.7500  5 Ni 2.34-2.55
Ni 0.2833 0.1996 0.2500  5 Ni 2.34-2.55
Ni 0.4560 0.0392 0.2500  5 Ni 2.34-2.49, 1 Cr 2.62
Ni 0.5440 0.9608 0.7500  5 Ni 2.34-2.49, 1 Cr 2.62
Ni 0.7167 0.8004 0.7500  5 Ni 2.34-2.55
Ni 0.8004 0.7167 0.2500  5 Ni 2.34-2.55
Ni 0.9608 0.5440 0.2500  5 Ni 2.34-2.49, 1 Cr 2.62
Mo 0.3772 0.6228 0.2500  2 Cr 2.46, 12 Ni 2.65-2.67
Mo 0.6228 0.3772 0.7500  2 Cr 2.46, 12 Ni 2.65-2.67